NaSr2YH: relaxed, PBE.

a = 6.2053 Å, b = 6.2053 Å, c = 4.3650 Å
α = 90.00°, β = 90.00°, γ = 90.00°
Sites, in units of the cell vectors:
1 H 0.0000 0.0000 0.0000
2 Na 0.5000 0.5000 0.5000
3 Sr 0.5000 0.0000 0.0000
4 Sr 0.0000 0.5000 0.0000
5 Y 0.0000 0.0000 0.5000

Results
Total moment (μB per formula unit): 0.0
Density of states at the Fermi level (states/eV/f.u.): 4.696
SG: No. 123

***

K9I3ClO2: relaxed, PBE.

a = 7.9748 Å, b = 7.9748 Å, c = 9.8611 Å
α = 90.00°, β = 90.00°, γ = 120.00°
Sites, in units of the cell vectors:
1 O 0.6667 0.3333 0.8420
2 K 0.0000 0.5000 0.0000
3 K 0.1803 0.8197 0.3083
4 I 0.0000 0.0000 0.0000
5 K 0.6395 0.8197 0.3083
6 K 0.1803 0.3605 0.3083
7 O 0.3333 0.6667 0.1580
8 K 0.8197 0.6395 0.6917
9 I 0.6667 0.3333 0.3414
10 K 0.5000 0.0000 0.0000
11 K 0.8197 0.1803 0.6917
12 Cl 0.0000 0.0000 0.5000
13 I 0.3333 0.6667 0.6586
14 K 0.5000 0.5000 0.0000
15 K 0.3605 0.1803 0.6917

Results
ΔE_f (raw) (meV per atom): -1248
Total moment (μB per formula unit): 0.0
Density of states at the Fermi level (states/eV/f.u.): 1.999
SG: No. 164

***

SrMgAsH: relaxed, PBE.

a = 4.4255 Å, b = 4.4248 Å, c = 4.8177 Å
α = 90.00°, β = 90.00°, γ = 120.01°
Sites, in units of the cell vectors:
1 H 0.2386 0.4772 0.2689
2 As 0.9053 0.8104 0.7775
3 Sr 0.5719 0.1439 0.3315
4 Mg 0.2385 0.4771 0.8612

Results
Total moment (μB per formula unit): 0.0
Density of states at the Fermi level (states/eV/f.u.): 0.000
SG: No. 156

***

Ca2La4Nd: relaxed, PBE.

a = 5.8713 Å, b = 5.8713 Å, c = 10.0397 Å
α = 107.00°, β = 107.00°, γ = 90.00°
Last column: magnetic moment on the atom in μB.
Sites, in units of the cell vectors:
1 Ca 0.3733 0.3733 0.7467  -0.01
2 Ca 0.6267 0.6267 0.2533  -0.01
3 Nd 0.0000 0.0000 0.0000  -0.33
4 La 0.0000 0.5000 0.0000  -0.13
5 La 0.1703 0.1703 0.3407  -0.12
6 La 0.8297 0.8297 0.6593  -0.12
7 La 0.5000 0.0000 0.0000  -0.13

Results
Energy of formation from the pure elements (eV/atom): 0.507
Total moment (μB per formula unit): 1.5
Density of states at the Fermi level (states/eV/f.u.): 12.374
SG: No. 139

***

CsTlAuBr: relaxed, PBE.

a = 5.8642 Å, b = 5.8642 Å, c = 5.8642 Å
α = 60.00°, β = 60.00°, γ = 60.00°
Sites, in units of the cell vectors:
1 Cs 0.7500 0.7500 0.7500
2 Br 0.0000 0.0000 0.0000
3 Au 0.5000 0.5000 0.5000
4 Tl 0.2500 0.2500 0.2500

Results
ΔE_f (raw) (meV per atom): -611
Total moment (μB per formula unit): 0.0
Density of states at the Fermi level (states/eV/f.u.): 0.000
SG: No. 216

***

LaMn2Ag: relaxed, PBE.

a = 3.1904 Å, b = 3.2062 Å, c = 8.2503 Å
α = 67.22°, β = 90.00°, γ = 90.00°
Last column: magnetic moment on the atom in μB.
Sites, in units of the cell vectors:
1 Mn 0.5000 0.2799 0.2204  3.35
2 Mn 0.0000 0.9306 0.0695  -2.96
3 Ag 0.0000 0.5577 0.4423  0.02
4 La 0.5000 0.7318 0.7677  0.22

Results
Energy of formation from the pure elements (eV/atom): 0.178
Total moment (μB per formula unit): 0.8
Density of states at the Fermi level (states/eV/f.u.): 3.232
SG: No. 6

***

Li2TiCr2S6: relaxed, PBE.

a = 5.9898 Å, b = 5.9898 Å, c = 6.4416 Å
α = 99.00°, β = 99.00°, γ = 119.93°
Last column: magnetic moment on the atom in μB.
Sites, in units of the cell vectors:
1 Cr 0.3331 0.6669 0.5000  2.81
2 Li 0.1659 0.8341 0.0000  0.00
3 Ti 0.0000 0.0000 0.5000  0.16
4 S 0.4133 0.0737 0.7234  -0.04
5 S 0.5867 0.9263 0.2766  -0.04
6 Cr 0.6669 0.3331 0.5000  2.81
7 S 0.2609 0.2609 0.2757  -0.03
8 S 0.0737 0.4133 0.7234  -0.04
9 S 0.9263 0.5867 0.2766  -0.04
10 S 0.7391 0.7391 0.7243  -0.03
11 Li 0.8341 0.1659 0.0000  0.00

Results
ΔE_f (raw) (meV per atom): -1068
Total moment (μB per formula unit): 6.0
SG: No. 12

***

TbPrSmMg: relaxed, PBE.

a = 3.7031 Å, b = 3.7031 Å, c = 9.1497 Å
α = 90.00°, β = 90.00°, γ = 90.00°
Sites, in units of the cell vectors:
1 Mg 0.0000 0.0000 0.5674
2 Pr 0.0000 0.0000 0.0743
3 Tb 0.5000 0.5000 0.3462
4 Sm 0.5000 0.5000 0.7968

Results
Energy of formation from the pure elements (eV/atom): -0.033
Total moment (μB per formula unit): 0.0
Density of states at the Fermi level (states/eV/f.u.): 4.613
SG: No. 99

***

Number 1: final energy -2.895 eV per atom. Number 2: final energy -3.001 eV per atom. Number 3: final energy -3.611 eV per atom. Number 4: final energy -3.562 eV per atom. Number 5: final energy -2.653 eV per atom. Number 6: final energy -6.351 eV per atom. Number 7: final energy -6.134 eV per atom. Number 8: final energy -3.964 eV per atom.